The following is a GGA-PBE calculation of a geometry-optimized RbAcS2O6 structure, from the Alexandria database.

Cell: 5.5569 5.5569 22.0949 Å, 90.00 90.00 120.00°
Space group R-3 (No. 148, hexagonal axes)
Asymmetric unit:
Rb  0.0000  0.0000  0.0000 [3 per cell]
Ac  0.0000  0.0000  0.5000 [3 per cell]
S  0.0000  0.0000  0.2631 [6 per cell]
O  0.0262  0.2676  0.2355 [18 per cell]

Summary:
* total DFT energy (no corrections): -6.336 eV per atom
* formation energy from raw total energies: -2.028 eV per atom

The following is a GGA-PBE calculation of a geometry-optimized RbAc2SO8 structure, from the Alexandria database.

Cell: 5.2941 5.2941 7.9803 Å, 90.00 90.00 120.00°
Space group P-3m1 (No. 164)
Asymmetric unit:
Rb  0.0000  0.0000  0.0000 [1 per cell]
Ac  0.3333  0.6667  0.3368 [2 per cell]
S  0.0000  0.0000  0.5000 [1 per cell]
O  0.1495  0.2991  0.6206 [6 per cell]
O  0.3333  0.6667  0.0266 [2 per cell]

Summary:
* total DFT energy (no corrections): -6.142 eV per atom
* formation energy from raw total energies: -1.727 eV per atom

The following is a GGA-PBE calculation of a geometry-optimized Rb2AcS2O6 structure, from the Alexandria database.

Cell: 10.2581 5.5456 8.2599 Å, 90.00 116.99 90.00°
Space group C2/m (No. 12)
Asymmetric unit:
Rb  0.1898  0.0000  0.1298 [4 per cell]
Ac  0.0000  0.0000  0.5000 [2 per cell]
S  0.0751  0.5000  0.3516 [4 per cell]
O  0.0151  0.2799  0.7694 [8 per cell]
O  0.2213  0.5000  0.3368 [4 per cell]

Summary:
* total DFT energy (no corrections): -5.740 eV per atom
* formation energy from raw total energies: -1.736 eV per atom

The following is a GGA-PBE calculation of a geometry-optimized Rb3AcSb2O9 structure, from the Alexandria database.

Cell: 6.1098 6.1098 7.6353 Å, 90.00 90.00 120.00°
Space group P-3m1 (No. 164)
Asymmetric unit:
Rb  0.0000  0.0000  0.0000 [1 per cell]
Rb  0.3333  0.6667  0.6715 [2 per cell]
Ac  0.0000  0.0000  0.5000 [1 per cell]
Sb  0.3333  0.6667  0.1518 [2 per cell]
O  0.0000  0.5000  0.0000 [3 per cell]
O  0.1808  0.3616  0.3000 [6 per cell]

Summary:
* total DFT energy (no corrections): -5.626 eV per atom
* formation energy from raw total energies: -1.634 eV per atom